# 1
NaErLu | PBE-GGA | optimized geometry

space group	F-43m, No. 216
volume	34.17	Å³ per atom
distance to the lowest polymorph of the same formula	0.000	eV/f.u.
calculated density	5.92	Mg/m³

abc: 5.253 5.253 5.253
angles: 60.00 60.00 60.00
Sites, in units of the cell vectors:
Na: 0.000 0.000 0.000
Er: 0.750 0.750 0.750
Lu: 0.250 0.250 0.250

# 2
Na2ErLuO4 | PBE-GGA | optimized geometry

space group	C2/m, No. 12
calculated total energy	-82.26	eV per cell
volume	19.64	Å³ per atom
calculated density	4.78	Mg/m³

abc: 18.271 18.271 2.998
angles: 90.07 90.07 161.71
Sites, in units of the cell vectors:
Na: 0.033 0.967 0.000
Na: 0.205 0.795 0.000
Na: 0.795 0.205 0.000
Na: 0.967 0.033 0.000
Er: 0.109 0.891 0.000
Er: 0.891 0.109 0.000
Lu: 0.441 0.559 0.000
Lu: 0.559 0.441 0.000
O: 0.063 0.544 0.842
O: 0.167 0.330 0.499
O: 0.330 0.167 0.499
O: 0.456 0.937 0.158
O: 0.544 0.063 0.842
O: 0.670 0.833 0.501
O: 0.833 0.670 0.501
O: 0.937 0.456 0.158

# 3
ErLuNb | PBE-GGA | optimized geometry

space group	F-43m, No. 216
volume	29.54	Å³ per atom
energy relative to the elements	0.79	eV/atom
distance to the lowest polymorph of the same formula	0.000	eV/f.u.
calculated density	8.15	Mg/m³

abc: 5.005 5.005 5.005
angles: 60.00 60.00 60.00
Sites, in units of the cell vectors:
Er: 0.000 0.000 0.000
Lu: 0.500 0.500 0.500
Nb: 0.250 0.250 0.250

# 4
ErLuNi4 | PBE-GGA | optimized geometry

space group	P6/mmm, No. 191
volume	16.16	Å³ per atom
energy relative to the elements	-0.09	eV/atom
distance to the lowest polymorph of the same formula	2.401	eV/f.u.
calculated density	9.88	Mg/m³

abc: 5.311 5.311 7.939
angles: 90.00 90.00 120.00
Sites, in units of the cell vectors:
Er: 0.000 0.000 0.000
Er: 0.000 0.000 0.500
Lu: 0.333 0.667 0.000
Lu: 0.667 0.333 0.000
Ni: 0.000 0.500 0.268
Ni: 0.000 0.500 0.732
Ni: 0.333 0.667 0.500
Ni: 0.500 0.000 0.268
Ni: 0.500 0.000 0.732
Ni: 0.500 0.500 0.268
Ni: 0.500 0.500 0.732
Ni: 0.667 0.333 0.500

# 5
ErLuNi2 | PBE-GGA | optimized geometry

space group	P2_1/m, No. 11
volume	19.02	Å³ per atom
energy relative to the elements	-0.51	eV/atom
calculated density	10.03	Mg/m³

abc: 5.354 4.104 6.927
angles: 90.00 90.34 90.00
Sites, in units of the cell vectors:
Er: 0.132 0.250 0.181
Er: 0.868 0.750 0.819
Lu: 0.369 0.250 0.679
Lu: 0.631 0.750 0.321
Ni: 0.129 0.750 0.463
Ni: 0.374 0.750 0.962
Ni: 0.626 0.250 0.038
Ni: 0.871 0.250 0.537

# 6
ErLuNi2 | PBE-GGA | optimized geometry

space group	Pmc2_1, No. 26
volume	18.99	Å³ per atom
energy relative to the elements	-0.51	eV/atom
calculated density	10.05	Mg/m³

abc: 4.099 5.353 6.922
angles: 90.00 90.00 90.00
Sites, in units of the cell vectors:
Er: 0.000 0.119 0.000
Er: 0.000 0.881 0.500
Lu: 0.500 0.383 0.640
Lu: 0.500 0.617 0.140
Ni: 0.000 0.379 0.358
Ni: 0.000 0.621 0.858
Ni: 0.500 0.124 0.284
Ni: 0.500 0.876 0.784